Material: Nd6Ho12Tm
Method: DFT, PBE-GGA
State: optimized geometry

```
19
Lattice="7.6010 4.3885 3.3511 -7.6010 4.3885 3.3511 0.0000 -8.7769 3.3511" Properties=species:S:1:pos:R:3 pbc="T T T"
Nd -2.9010 -1.6749 5.4787
Nd 0.0000 -3.3498 4.5747
Nd -2.9010 1.6749 4.5747
Nd 2.9010 -1.6749 5.4787
Nd 0.0000 3.3498 5.4787
Nd 2.9010 1.6749 4.5747
Ho -1.7841 -1.0300 2.3260
Ho -2.9609 -5.1284 5.0267
Ho -5.9218 0.0000 5.0267
Ho 1.7841 -1.0300 2.3260
Ho 0.0000 2.0601 2.3260
Ho 2.9609 -5.1284 5.0267
Ho -2.9609 5.1284 5.0267
Ho 0.0000 -2.0601 7.7274
Ho -1.7841 1.0300 7.7274
Ho 5.9218 0.0000 5.0267
Ho 2.9609 5.1284 5.0267
Ho 1.7841 1.0300 7.7274
Tm 0.0000 0.0000 0.0000
```

Properties
ΔH_f (0 K), eV per atom: 0.463
Excess energy over the best structure of this formula in the dataset, meV/atom: 337

Material: Nd6Ho5Tm2
Method: DFT, PBE-GGA
State: optimized geometry

```
26
Lattice="11.6545 0.0000 0.0000 0.0000 20.6000 0.0000 0.0000 0.0000 3.6123" Properties=species:S:1:pos:R:3 pbc="T T T"
Nd 0.7132 1.6659 0.0000
Nd 0.9876 7.5785 0.0000
Nd 1.9959 13.1191 1.8061
Nd 3.8313 2.8191 1.8061
Nd 4.8396 17.8785 0.0000
Nd 5.1140 11.9659 0.0000
Nd 6.5405 8.6341 0.0000
Nd 6.8148 2.7215 0.0000
Nd 7.8232 17.7809 1.8061
Nd 9.6585 7.4809 1.8061
Nd 10.6669 13.0216 0.0000
Nd 10.9412 18.9342 0.0000
Ho 0.0000 10.3000 1.8061
Ho 1.0777 4.6861 1.8061
Ho 2.2989 19.4551 1.8061
Ho 3.5283 9.1551 1.8061
Ho 4.7496 14.9861 1.8061
Ho 5.8272 0.0000 1.8061
Ho 6.9049 5.6139 1.8061
Ho 8.1262 11.4449 1.8061
Ho 9.3555 1.1449 1.8061
Ho 10.5768 15.9139 1.8061
Tm 1.9235 16.2916 0.0000
Tm 3.9037 5.9916 0.0000
Tm 7.7508 14.6084 0.0000
Tm 9.7309 4.3084 0.0000
```

Properties
ΔH_f (0 K), eV per atom: 0.105

Material: Nd14HoTm
Method: DFT, PBE-GGA
State: optimized geometry

```
16
Lattice="7.3185 0.0000 0.0000 0.0000 7.3185 0.0000 0.0000 0.0000 10.3407" Properties=species:S:1:pos:R:3 pbc="T T T"
Nd 0.0000 0.0000 0.0000
Nd 0.0000 3.6593 0.0000
Nd 0.0000 3.6593 5.1703
Nd 1.8317 1.8317 2.6132
Nd 1.8317 1.8317 7.7275
Nd 1.8317 5.4869 2.6132
Nd 1.8317 5.4869 7.7275
Nd 3.6593 0.0000 0.0000
Nd 3.6593 0.0000 5.1703
Nd 3.6593 3.6593 0.0000
Nd 5.4869 1.8317 2.6132
Nd 5.4869 1.8317 7.7275
Nd 5.4869 5.4869 2.6132
Nd 5.4869 5.4869 7.7275
Ho 0.0000 0.0000 5.1703
Tm 3.6593 3.6593 5.1703
```

Properties
ΔH_f (0 K), eV per atom: 0.014

Material: Nd5Ho6Tm
Method: DFT, PBE-GGA
State: optimized geometry

```
12
Lattice="3.1099 -5.3850 0.0000 3.1099 5.3850 0.0000 -2.0664 0.0000 11.6401" Properties=species:S:1:pos:R:3 pbc="T T T"
Nd 0.0000 0.0000 0.0000
Nd 2.0767 3.5925 5.8200
Nd 3.1099 1.7961 0.0000
Nd 3.1099 -1.7961 0.0000
Nd 2.0767 -3.5925 5.8200
Ho 1.0387 1.7909 2.9265
Ho 0.0128 0.0000 8.7168
Ho 1.0387 -1.7909 2.9265
Ho 3.1148 1.7909 8.7136
Ho 4.1406 0.0000 2.9233
Ho 3.1148 -1.7909 8.7136
Tm 2.0767 0.0000 5.8200
```

Properties
ΔH_f (0 K), eV per atom: 0.015
Excess energy over the best structure of this formula in the dataset, meV/atom: 0

Material: NdHo12Tm7
Method: DFT, PBE-GGA
State: optimized geometry

```
20
Lattice="-5.6221 5.6221 5.6221 5.6221 -5.6221 5.6221 5.6221 5.6221 -5.6221" Properties=species:S:1:pos:R:3 pbc="T T T"
Nd 0.0000 0.0000 0.0000
Ho 5.6221 2.7134 -2.7134
Ho 5.6221 -2.7134 2.7134
Ho 2.7134 5.6221 -2.7134
Ho 2.9087 2.9087 0.0000
Ho 2.9087 0.0000 2.9087
Ho 2.7134 -2.7134 5.6221
Ho 5.6221 2.7134 2.7134
Ho 0.0000 2.9087 2.9087
Ho -2.7134 5.6221 2.7134
Ho -2.7134 2.7134 5.6221
Ho 2.7134 5.6221 2.7134
Ho 2.7134 2.7134 5.6221
Tm 2.8110 2.8110 -2.8110
Tm 2.8110 -2.8110 2.8110
Tm 5.6221 0.0000 0.0000
Tm -2.8110 2.8110 2.8110
Tm 0.0000 5.6221 0.0000
Tm 0.0000 0.0000 5.6221
Tm 2.8110 2.8110 2.8110
```

Properties
ΔH_f (0 K), eV per atom: 0.727
Excess energy over the best structure of this formula in the dataset, meV/atom: 485

Material: NdHo2Tm8
Method: DFT, PBE-GGA
State: optimized geometry

```
11
Lattice="8.5955 -2.6905 0.0000 8.5955 2.6905 0.0000 -3.6799 0.0000 7.3956" Properties=species:S:1:pos:R:3 pbc="T T T"
Nd 0.0000 0.0000 0.0000
Ho 3.8737 0.0000 2.5275
Ho 9.6373 0.0000 4.8681
Tm 0.3988 0.0000 3.2826
Tm -0.4221 0.0000 6.6062
Tm 2.8985 0.0000 5.9268
Tm 7.2532 0.0000 2.0546
Tm 6.2578 0.0000 5.3410
Tm 10.6126 0.0000 1.4688
Tm 13.9331 0.0000 0.7894
Tm 13.1123 0.0000 4.1130
```

Properties
ΔH_f (0 K), eV per atom: 0.104

Material: Nd8Ho3Tm
Method: DFT, PBE-GGA
State: optimized geometry

```
12
Lattice="3.5267 -6.0012 0.0000 3.5267 6.0012 0.0000 -2.4316 0.0000 9.5643" Properties=species:S:1:pos:R:3 pbc="T T T"
Nd 1.4175 3.0245 6.3680
Nd 0.8861 0.0000 1.5705
Nd 0.2239 0.0000 7.9550
Nd 3.2042 3.0245 3.1964
Nd 1.4175 -3.0245 6.3680
Nd 4.3978 0.0000 1.6093
Nd 3.7356 0.0000 7.9939
Nd 3.2042 -3.0245 3.1964
Ho 1.7633 3.0006 0.0000
Ho 1.7633 -3.0006 0.0000
Ho 2.3109 0.0000 4.7822
Tm -1.2158 0.0000 4.7822
```

Properties
ΔH_f (0 K), eV per atom: 0.113

Material: Nd4Ho8Tm3
Method: DFT, PBE-GGA
State: optimized geometry

```
15
Lattice="6.6840 -6.4111 0.0000 6.6840 6.4111 0.0000 -3.3581 0.0000 5.8297" Properties=species:S:1:pos:R:3 pbc="T T T"
Nd 0.0000 0.0000 0.0000
Nd -1.6790 0.0000 2.9149
Nd 3.3420 3.2056 0.0000
Nd 3.3420 -3.2056 0.0000
Ho 6.6840 3.1363 0.0000
Ho 1.8440 0.0000 3.0036
Ho 3.4953 0.0000 0.2336
Ho 5.0050 1.7582 2.9149
Ho 5.0050 -1.7582 2.9149
Ho 6.5146 0.0000 5.5961
Ho 8.1659 0.0000 2.8261
Ho 6.6840 -3.1363 0.0000
Tm 1.6630 3.2056 2.9149
Tm 1.6630 -3.2056 2.9149
Tm 6.6840 0.0000 0.0000
```

Properties
ΔH_f (0 K), eV per atom: 0.371
Excess energy over the best structure of this formula in the dataset, meV/atom: 252

Material: NdHo4Tm8
Method: DFT, PBE-GGA
State: optimized geometry

```
13
Lattice="3.6122 2.0855 8.9027 -3.6122 2.0855 8.9027 0.0000 -4.1710 8.9027" Properties=species:S:1:pos:R:3 pbc="T T T"
Nd 0.0000 0.0000 0.0000
Ho -3.6122 0.0000 13.3540
Ho -1.8061 1.0427 4.4513
Ho 1.8061 1.0427 4.4513
Ho 0.0000 0.0000 13.3540
Tm 0.0000 -1.8433 10.6285
Tm -1.5963 0.9216 10.6285
Tm 0.0000 0.0000 7.5203
Tm -1.5963 -0.9216 16.0795
Tm 1.5963 0.9216 10.6285
Tm 0.0000 0.0000 19.1877
Tm 1.5963 -0.9216 16.0796
Tm 0.0000 1.8433 16.0796
```

Properties
ΔH_f (0 K), eV per atom: 0.213